Model a:
Li4Pr3Pd4 | PBE | optimized geometry

Calculated values
- theoretical density (g/cm3) = 6.53

Cell lengths 6.6161, 6.6161, 6.6161 Å; angles 109.47, 109.47, 109.47 degrees
With the nearest neighbours (Å) after each atom.
Sites, in units of the cell vectors:
Li 0.0000 0.0000 0.7586  4 Pd 2.37-2.60, 3 Li 2.61
Li 0.0000 0.7586 0.0000  4 Pd 2.37-2.60, 3 Li 2.61
Li 0.2414 0.2414 0.2414  4 Pd 2.37-2.60, 3 Li 2.61
Li 0.7586 0.0000 0.0000  4 Pd 2.37-2.60, 3 Li 2.61
Pr 0.0000 0.5000 0.5000  4 Pd 3.15, 4 Li 3.18
Pr 0.5000 0.0000 0.5000  4 Pd 3.15, 4 Li 3.18
Pr 0.5000 0.5000 0.0000  4 Pd 3.15, 4 Li 3.18
Pd 0.0000 0.0000 0.4008  4 Li 2.37-2.60
Pd 0.0000 0.4008 0.0000  4 Li 2.37-2.60
Pd 0.4008 0.0000 0.0000  4 Li 2.37-2.60
Pd 0.5992 0.5992 0.5992  4 Li 2.37-2.60


Model b:
Li4Pr3Pd4 | PBE | optimized geometry

Calculated values
- theoretical density (g/cm3) = 6.41

Cell lengths 8.4338, 8.4338, 8.4338 Å; angles 151.67, 126.55, 61.60 degrees
With the nearest neighbours (Å) after each atom.
Sites, in units of the cell vectors:
Li 0.0137 0.8242 0.1895  4 Pd 2.59-2.80, 1 Li 2.88
Li 0.3654 0.1758 0.1895  4 Pd 2.59-2.80, 1 Li 2.88
Li 0.6346 0.8242 0.8105  4 Pd 2.59-2.80, 1 Li 2.88
Li 0.9863 0.1758 0.8105  4 Pd 2.59-2.80, 1 Li 2.88
Pr 0.0000 0.5000 0.5000  6 Pd 3.11-3.18
Pr 0.3751 0.3751 0.0000  6 Pd 3.06-3.11, 6 Li 3.22-3.23
Pr 0.6249 0.6249 0.0000  6 Pd 3.06-3.11, 6 Li 3.22-3.23
Pd 0.2195 0.7195 0.5000  6 Li 2.59-2.80
Pd 0.3071 0.0000 0.3071  2 Li 2.70, 1 Pd 2.93
Pd 0.6929 0.0000 0.6929  2 Li 2.70, 1 Pd 2.93
Pd 0.7805 0.2805 0.5000  6 Li 2.59-2.80


model b wins, 122 meV/atom ahead of the next structure.


Model a:
Li4PrPd2 | PBE | optimized geometry

Calculated values
- theoretical density (g/cm3) = 4.94

Cell lengths 7.8043, 7.8043, 4.2089 Å; angles 90.00, 90.00, 90.00 degrees
With the nearest neighbours (Å) after each atom.
Sites, in units of the cell vectors:
Li 0.0965 0.3474 0.0000  3 Pd 2.62-2.63, 6 Li 2.77-2.90
Li 0.1526 0.5965 0.5000  3 Pd 2.62-2.63, 6 Li 2.77-2.90
Li 0.3474 0.0965 0.0000  3 Pd 2.62-2.63, 6 Li 2.77-2.90
Li 0.4035 0.8474 0.5000  3 Pd 2.62-2.63, 6 Li 2.77-2.90
Li 0.5965 0.1526 0.5000  3 Pd 2.62-2.63, 6 Li 2.77-2.90
Li 0.6526 0.9035 0.0000  3 Pd 2.62-2.63, 6 Li 2.77-2.90
Li 0.8474 0.4035 0.5000  3 Pd 2.62-2.63, 6 Li 2.77-2.90
Li 0.9035 0.6526 0.0000  3 Pd 2.62-2.63, 6 Li 2.77-2.90
Pr 0.0000 0.0000 0.5000  6 Pd 3.13-3.21, 4 Li 3.37
Pr 0.5000 0.5000 0.0000  6 Pd 3.13-3.21, 4 Li 3.37
Pd 0.2093 0.7907 0.0000  6 Li 2.62-2.63
Pd 0.2907 0.2907 0.5000  6 Li 2.62-2.63
Pd 0.7093 0.7093 0.5000  6 Li 2.62-2.63
Pd 0.7907 0.2093 0.0000  6 Li 2.62-2.63


Model b:
Li4PrPd2 | PBE | optimized geometry

Calculated values
- theoretical density (g/cm3) = 4.73

Cell lengths 8.5387, 8.5387, 4.1011 Å; angles 90.00, 90.00, 153.37 degrees
With the nearest neighbours (Å) after each atom.
Sites, in units of the cell vectors:
Li 0.1771 0.8229 0.0000  2 Pd 2.59, 4 Li 2.84
Li 0.3144 0.6856 0.5000  2 Pd 2.62, 6 Li 2.84-2.91
Li 0.6856 0.3144 0.5000  2 Pd 2.62, 6 Li 2.84-2.91
Li 0.8229 0.1771 0.0000  2 Pd 2.59, 4 Li 2.84
Pr 0.5000 0.5000 0.0000  8 Pd 3.15
Pd 0.0817 0.9183 0.5000  4 Li 2.59-2.62, 1 Pd 2.71
Pd 0.9183 0.0817 0.5000  4 Li 2.59-2.62, 1 Pd 2.71


model a wins, 7 meV/atom ahead of the next structure.


Model a:
LiPrPdPt | PBE | optimized geometry

Calculated values
- theoretical density (g/cm3) = 9.29

Cell lengths 4.8437, 4.8437, 4.8437 Å; angles 60.00, 60.00, 60.00 degrees
With the nearest neighbours (Å) after each atom.
Sites, in units of the cell vectors:
Li 0.0000 0.0000 0.0000  4 Pd 2.97, 4 Pt 2.97
Pr 0.5000 0.5000 0.5000  4 Pd 2.97, 4 Pt 2.97
Pd 0.7500 0.7500 0.7500  4 Li 2.97, 4 Pr 2.97
Pt 0.2500 0.2500 0.2500  4 Pr 2.97, 4 Li 2.97


Model b:
LiPrPdPt | PBE | optimized geometry

Calculated values
- theoretical density (g/cm3) = 9.27

Cell lengths 5.4656, 5.4656, 5.4656 Å; angles 47.22, 47.22, 47.22 degrees
With the nearest neighbours (Å) after each atom.
Sites, in units of the cell vectors:
Li 0.0000 0.0000 0.0000  3 Pt 2.61, 3 Pd 2.64
Pr 0.4938 0.4938 0.4938  4 Pt 3.04-3.15, 4 Pd 3.08
Pd 0.2817 0.2817 0.2817  3 Li 2.64, 3 Pt 2.88
Pt 0.7105 0.7105 0.7105  3 Li 2.61, 3 Pd 2.88


model b wins, 57 meV/atom ahead of the next structure.


Model a:
LiPd2Pt2 | PBE | optimized geometry

Calculated values
- theoretical density (g/cm3) = 12.02

Cell lengths 7.8139, 7.8139, 2.7592 Å; angles 90.00, 90.00, 90.00 degrees
With the nearest neighbours (Å) after each atom.
Sites, in units of the cell vectors:
Li 0.0000 0.0000 0.0000  2 Li 2.76, 4 Pd 3.08
Li 0.5000 0.5000 0.0000  2 Li 2.76, 4 Pd 3.08
Pd 0.1267 0.3733 0.0000  6 Pt 2.61-2.74, 3 Pd 2.76-2.80
Pd 0.3733 0.8733 0.0000  6 Pt 2.61-2.74, 3 Pd 2.76-2.80
Pd 0.6267 0.1267 0.0000  6 Pt 2.61-2.74, 3 Pd 2.76-2.80
Pd 0.8733 0.6267 0.0000  6 Pt 2.61-2.74, 3 Pd 2.76-2.80
Pt 0.1730 0.6730 0.5000  6 Pd 2.61-2.74, 2 Pt 2.76
Pt 0.3270 0.1730 0.5000  6 Pd 2.61-2.74, 2 Pt 2.76
Pt 0.6730 0.8270 0.5000  6 Pd 2.61-2.74, 2 Pt 2.76
Pt 0.8270 0.3270 0.5000  6 Pd 2.61-2.74, 2 Pt 2.76


Model b:
LiPd2Pt2 | PBE | optimized geometry

Calculated values
- theoretical density (g/cm3) = 10.33

Cell lengths 5.4423, 5.4423, 5.4423 Å; angles 127.66, 127.66, 77.18 degrees
With the nearest neighbours (Å) after each atom.
Sites, in units of the cell vectors:
Li 0.0000 0.0000 0.0000  2 Pt 3.03, 8 Pd 3.21
Pd 0.2500 0.7500 0.5000  4 Pt 2.56
Pd 0.7500 0.2500 0.5000  4 Pt 2.56
Pt 0.3559 0.3559 0.0000  1 Pt 2.45, 4 Pd 2.56
Pt 0.6441 0.6441 0.0000  1 Pt 2.45, 4 Pd 2.56


Model c:
LiPd2Pt2 | PBE | optimized geometry

Calculated values
- theoretical density (g/cm3) = 11.27

Cell lengths 6.9724, 6.9724, 6.9724 Å; angles 148.95, 148.95, 44.48 degrees
With the nearest neighbours (Å) after each atom.
Sites, in units of the cell vectors:
Li 0.0000 0.0000 0.0000  8 Pd 2.93
Pd 0.4016 0.4016 0.0000  1 Pd 2.54, 4 Pt 2.70
Pd 0.5984 0.5984 0.0000  1 Pd 2.54, 4 Pt 2.70
Pt 0.2500 0.7500 0.5000  4 Pt 2.64, 4 Pd 2.70
Pt 0.7500 0.2500 0.5000  4 Pt 2.64, 4 Pd 2.70


Model d:
LiPd2Pt2 | PBE | optimized geometry

Calculated values
- theoretical density (g/cm3) = 11.97

Cell lengths 7.7895, 7.7895, 2.7880 Å; angles 90.00, 90.00, 90.00 degrees
With the nearest neighbours (Å) after each atom.
Sites, in units of the cell vectors:
Li 0.0000 0.0000 0.0000  2 Li 2.79, 4 Pt 3.09
Li 0.5000 0.5000 0.0000  2 Li 2.79, 4 Pt 3.09
Pd 0.1784 0.3216 0.5000  6 Pt 2.60-2.76, 2 Pd 2.79
Pd 0.3216 0.8216 0.5000  6 Pt 2.60-2.76, 2 Pd 2.79
Pd 0.6784 0.1784 0.5000  6 Pt 2.60-2.76, 2 Pd 2.79
Pd 0.8216 0.6784 0.5000  6 Pt 2.60-2.76, 2 Pd 2.79
Pt 0.1225 0.6225 0.0000  6 Pd 2.60-2.76, 3 Pt 2.70-2.79
Pt 0.3775 0.1225 0.0000  6 Pd 2.60-2.76, 3 Pt 2.70-2.79
Pt 0.6225 0.8775 0.0000  6 Pd 2.60-2.76, 3 Pt 2.70-2.79
Pt 0.8775 0.3775 0.0000  6 Pd 2.60-2.76, 3 Pt 2.70-2.79


model d wins, 9 meV/atom ahead of the next structure.